No. 1
The following is a DFT calculation (PBE-GGA) of ZnIr4Os after structural relaxation.

Mass density: 17809 kg/m3
Electronic total energy: -7.307 eV per atom
Formation energy: 0.684 eV per atom

Cell: 5.131 5.131 5.131 Å, 60.00 60.00 60.00°
Element x y z (fractional)
Zn (0.000, 0.000, 0.000)
Ir (0.125, 0.625, 0.625)
Ir (0.625, 0.125, 0.625)
Ir (0.625, 0.625, 0.125)
Ir (0.625, 0.625, 0.625)
Os (0.250, 0.250, 0.250)

---

No. 2
The following is a DFT calculation (PBE-GGA) of NbIn2Pb after structural relaxation.

Mass density: 8472 kg/m3
Electronic total energy: -4.314 eV per atom
Formation energy: 0.500 eV per atom

Cell: 11.971 11.971 11.971 Å, 15.28 15.28 15.28°
Element x y z (fractional)
Nb (0.000, 0.000, 0.000)
In (0.081, 0.081, 0.081)
In (0.919, 0.919, 0.919)
Pb (0.500, 0.500, 0.500)

---

Copy entry 1 word for word.
The following is a DFT calculation (PBE-GGA) of ZnIr4Os after structural relaxation.

Mass density: 17809 kg/m3
Electronic total energy: -7.307 eV per atom
Formation energy: 0.684 eV per atom

Cell: 5.131 5.131 5.131 Å, 60.00 60.00 60.00°
Element x y z (fractional)
Zn (0.000, 0.000, 0.000)
Ir (0.125, 0.625, 0.625)
Ir (0.625, 0.125, 0.625)
Ir (0.625, 0.625, 0.125)
Ir (0.625, 0.625, 0.625)
Os (0.250, 0.250, 0.250)

---

Q: Look up the electronic total energy of the first one.
A: -7.307 eV per atom

---

Q: Which of these has the highest electronic total energy?
A: NbIn2Pb

---

Q: The highest formation energy belongs to which entry?
A: ZnIr4Os